Record 1
DFT (PBE) results for KVSi after structural relaxation.

The structure belongs to space group P4/nmm (No. 129, origin choice 2); the cell edges are 4.4942, 4.4942 and 7.3593 Å and the angles 90.00°, 90.00° and 90.00°. The distinct sites, in fractional coordinates, are K at (0.2500, 0.2500, 0.1420), V at (0.2500, 0.7500, 0.5000) and Si at (0.2500, 0.2500, 0.6327).

As for the total magnetization: 0.346 μB/atom. As for the offset from the most stable computed form: 99 meV per atom. The value obtained for the energy relative to the elements, uncorrected is 0.118 eV/atom.

=====

Record 2
DFT (PBE) results for Th2TaCo3Ge4 after structural relaxation.

The structure belongs to space group P-4m2 (No. 115); the cell edges are 4.0956, 4.0956 and 10.4967 Å and the angles 90.00°, 90.00° and 90.00°. The distinct sites, in fractional coordinates, are Th at (0.0000, 0.5000, 0.2307), Ta at (0.0000, 0.0000, 0.5000), Co at (0.0000, 0.5000, 0.8795), Co at (0.5000, 0.5000, 0.5000), Ge at (0.0000, 0.0000, 0.0000), Ge at (0.0000, 0.5000, 0.6521) and Ge at (0.5000, 0.5000, 0.0000).

As for the total magnetization: 0.000 μB/atom. The formation energy comes out at -543 meV per atom.

=====

no.,theoretical density (g/cm³)
1,2.6
2,10.5